The following is a DFT calculation (PBE) of a relaxed structure of LiZrCo.

a = 6.748 Å, b = 3.449 Å, c = 11.981 Å
α = 90.00°, β = 92.03°, γ = 90.00°
Fractional positions:
Li: 0.010 0.250 0.080
Li: 0.123 0.750 0.538
Li: 0.380 0.250 0.202
Li: 0.620 0.750 0.798
Li: 0.877 0.250 0.462
Li: 0.990 0.750 0.920
Zr: 0.061 0.750 0.283
Zr: 0.349 0.250 0.914
Zr: 0.447 0.250 0.621
Zr: 0.553 0.750 0.379
Zr: 0.651 0.750 0.086
Zr: 0.939 0.250 0.717
Co: 0.232 0.750 0.749
Co: 0.271 0.250 0.407
Co: 0.272 0.750 0.070
Co: 0.728 0.250 0.930
Co: 0.729 0.750 0.593
Co: 0.768 0.250 0.251

Formation enthalpy at 0 K: -3.0 kJ/mol of atoms